Below is crystalline HoBe4Ru at its relaxed geometry, with properties calculated at the GGA-PBE level.

Cell lengths 4.6648, 4.6648, 4.6648 Å; angles 60.00, 60.00, 60.00 degrees
Last column: nearest neighbours and their distance in Å.
Fractional positions:
Be (0.6283, 0.6283, 0.6283)  6 Be 2.27-2.39
Ho (0.2500, 0.2500, 0.2500)  12 Be 2.74, 4 Ru 2.86
Be (0.1151, 0.6283, 0.6283)  6 Be 2.27-2.39
Ru (0.0000, 0.0000, 0.0000)  12 Be 2.73, 4 Ho 2.86
Be (0.6283, 0.1151, 0.6283)  6 Be 2.27-2.39
Be (0.6283, 0.6283, 0.1151)  6 Be 2.27-2.39

Summary:
**M_tot**: 0.00 Bohr magnetons per cell
**DOS(E_F)**: 5.31 states/eV per cell
**ΔH_f (0 K)**: -197.8 meV/atom
**Crystal system**: cubic
**Volume**: 72 Å³/f.u.